Si3RuN | PBE | optimized geometry

Structure (POSCAR):
```
Si3RuN
1.0
4.5316 0.0000 0.0000
0.0000 4.5316 0.0000
0.0000 0.0000 4.5316
Si Ru N
3 1 1
Direct
0.0000 0.0000 0.5000 Si
0.0000 0.5000 0.0000 Si
0.5000 0.0000 0.0000 Si
0.0000 0.0000 0.0000 Ru
0.5000 0.5000 0.5000 N
```

Results
Its space-group type is Pm-3m, No. 221. The value obtained for the raw formation energy is 26.15 kcal/mol of atoms. The calculation puts the density of states at the Fermi level at 4.515 states/eV/f.u. The excess energy over the best structure of this formula in the dataset comes out at 706 meV per atom.

***

La2Pm2Sc | PBE | optimized geometry

Structure (POSCAR):
```
La2Pm2Sc
1.0
4.7747 -4.1458 0.0000
4.7747 4.1458 0.0000
-4.2456 0.0000 8.3419
La Pm Sc
4 4 2
Direct
0.0509 0.7119 0.8476 La
0.2881 0.9491 0.6524 La
0.7119 0.0509 0.3476 La
0.9491 0.2881 0.1524 La
0.2877 0.3832 0.5275 Pm
0.3832 0.2877 0.0275 Pm
0.6168 0.7123 0.9725 Pm
0.7123 0.6168 0.4725 Pm
0.2056 0.7944 0.2500 Sc
0.7944 0.2056 0.7500 Sc
```

Results
For the formation enthalpy at 0 K, the calculation gives 128 meV/atom. Its space-group type is C2/c, No. 15. The calculation puts the density of states at the Fermi level at 6.993 states/eV/f.u. The excess energy over the best structure of this formula in the dataset comes out at 0 meV per atom.

***

DyAlCuRh | PBE | optimized geometry

Structure (POSCAR):
```
DyAlCuRh
1.0
6.4894 0.0000 0.0000
0.0000 6.4894 0.0000
0.0000 0.0000 6.4894
Dy Al Cu Rh
4 4 4 4
Direct
0.0000 0.0000 0.0000 Dy
0.0000 0.5000 0.5000 Dy
0.5000 0.0000 0.5000 Dy
0.5000 0.5000 0.0000 Dy
0.0000 0.0000 0.5000 Al
0.0000 0.5000 0.0000 Al
0.5000 0.0000 0.0000 Al
0.5000 0.5000 0.5000 Al
0.2500 0.2500 0.2500 Cu
0.2500 0.7500 0.7500 Cu
0.7500 0.2500 0.7500 Cu
0.7500 0.7500 0.2500 Cu
0.2500 0.2500 0.7500 Rh
0.2500 0.7500 0.2500 Rh
0.7500 0.2500 0.2500 Rh
0.7500 0.7500 0.7500 Rh
```

Results
For the formation enthalpy at 0 K, the calculation gives -546 meV/atom. Its space-group type is F-43m, No. 216. The calculation puts the density of states at the Fermi level at 2.739 states/eV/f.u.

***

NaCe3Se4 | PBE | optimized geometry

Structure (POSCAR):
```
NaCe3Se4
1.0
8.4583 0.0000 0.0000
0.0000 11.9580 0.0000
0.0000 0.0000 4.2170
Na Ce Se
2 6 8
Direct
0.0000 0.0000 0.0000 Na
0.5000 0.5000 0.0000 Na
0.0000 0.5000 0.0000 Ce
0.2500 0.2500 0.5000 Ce
0.2500 0.7500 0.5000 Ce
0.5000 0.0000 0.0000 Ce
0.7500 0.2500 0.5000 Ce
0.7500 0.7500 0.5000 Ce
0.0000 0.2485 0.0000 Se
0.0000 0.7515 0.0000 Se
0.2491 0.5000 0.5000 Se
0.2509 0.0000 0.5000 Se
0.5000 0.2515 0.0000 Se
0.5000 0.7485 0.0000 Se
0.7491 0.0000 0.5000 Se
0.7509 0.5000 0.5000 Se
```

Results
Its space-group type is Cmmm, No. 65. The value obtained for the raw formation energy is -39.37 kcal/mol of atoms. The calculation puts the density of states at the Fermi level at 18.659 states/eV/f.u. The excess energy over the best structure of this formula in the dataset comes out at 2 meV per atom.